Compound: LiGd3Tc
Source: Alexandria via LeMat-Bulk
Functional: GGA-PBE
Structure: relaxed

Unit cell a=5.4035 b=5.4035 c=5.4035 alpha=90.00 beta=90.00 gamma=90.00
With the nearest neighbours (Å) after each atom.
Sites, in units of the cell vectors:
Gd1 0.5000 0.0000 0.0000  2 Tc 2.70
Gd2 0.0000 0.0000 0.5000  2 Tc 2.70
Gd3 0.0000 0.5000 0.0000  2 Tc 2.70
Tc1 0.0000 0.0000 0.0000  6 Gd 2.70
Li1 0.5000 0.5000 0.5000  12 Gd 3.82

**DOS(E_F)**: 0.765 states/eV per atom
**ΔE_f**: 0.13 eV per atom



Compound: Sm2YHoP4
Source: Alexandria via LeMat-Bulk
Functional: GGA-PBE
Structure: relaxed

Unit cell a=4.0565 b=7.0227 c=7.0194 alpha=109.47 beta=90.00 gamma=90.00
With the nearest neighbours (Å) after each atom.
Sites, in units of the cell vectors:
P1 0.0000 0.2531 0.7567  2 Ho 2.84, 1 Y 2.85, 3 Sm 2.89-2.90
P2 0.5000 0.7512 0.7561  1 Ho 2.84, 2 Y 2.85, 3 Sm 2.89
P3 0.5000 0.2488 0.2439  1 Ho 2.84, 2 Y 2.85, 3 Sm 2.89
P4 0.0000 0.7469 0.2433  2 Ho 2.84, 1 Y 2.85, 3 Sm 2.89-2.90
Sm1 0.5000 0.0000 0.5000  6 P 2.89-2.90
Sm2 0.0000 0.5000 0.5000  6 P 2.89
Y1 0.0000 0.0000 0.0000  6 P 2.85
Ho1 0.5000 0.5000 0.0000  6 P 2.84

**DOS(E_F)**: 0.100 states/eV per atom
**ΔE_f**: -1.59 eV per atom



Compound: CsZr3Pt
Source: Alexandria via LeMat-Bulk
Functional: GGA-PBE
Structure: relaxed

Unit cell a=5.3065 b=5.3065 c=5.3065 alpha=90.00 beta=90.00 gamma=90.00
With the nearest neighbours (Å) after each atom.
Sites, in units of the cell vectors:
Zr1 0.0000 0.0000 0.5000  2 Pt 2.65
Zr2 0.0000 0.5000 0.0000  2 Pt 2.65
Zr3 0.5000 0.0000 0.0000  2 Pt 2.65
Cs1 0.5000 0.5000 0.5000  12 Zr 3.75
Pt1 0.0000 0.0000 0.0000  6 Zr 2.65

**DOS(E_F)**: 1.676 states/eV per atom
**ΔE_f**: 0.49 eV per atom
**Polymorph energy (0 for the lowest one)**: 0 meV per atom



Compound: Fe2IrCl
Source: Alexandria via LeMat-Bulk
Functional: GGA-PBE
Structure: relaxed

Unit cell a=4.3599 b=4.3599 c=4.3599 alpha=60.00 beta=60.00 gamma=60.00
With the nearest neighbours (Å) after each atom.
Sites, in units of the cell vectors:
Ir1 0.5000 0.5000 0.5000  8 Fe 2.67
Cl1 0.0000 0.0000 0.0000  8 Fe 2.67
Fe1 0.7500 0.7500 0.7500  4 Cl 2.67, 4 Ir 2.67
Fe2 0.2500 0.2500 0.2500  4 Cl 2.67, 4 Ir 2.67

**DOS(E_F)**: 1.561 states/eV per atom
**Formation energy without anion corrections**: 745 meV per atom
**Polymorph energy (0 for the lowest one)**: 616 meV per atom



Compound: HfTaAs2
Source: Alexandria via LeMat-Bulk
Functional: GGA-PBE
Structure: relaxed

Unit cell a=3.7880 b=3.7880 c=6.5094 alpha=73.08 beta=73.08 gamma=60.00
With the nearest neighbours (Å) after each atom.
Sites, in units of the cell vectors:
Ta1 0.5000 0.5000 0.5000  6 As 2.65
Hf1 0.0000 0.0000 0.0000  6 As 2.69
As1 0.2477 0.2477 0.2568  3 Ta 2.65, 3 Hf 2.69
As2 0.7523 0.7523 0.7432  3 Ta 2.65, 3 Hf 2.69

**DOS(E_F)**: 0.527 states/eV per atom
**ΔE_f**: -0.45 eV per atom
**Polymorph energy (0 for the lowest one)**: 151 meV per atom



Compound: SmYPu2
Source: Alexandria via LeMat-Bulk
Functional: GGA-PBE
Structure: relaxed

Unit cell a=3.4747 b=3.4747 c=11.7226 alpha=81.48 beta=81.48 gamma=60.00
With the nearest neighbours (Å) after each atom.
Sites, in units of the cell vectors:
Y1 0.6668 0.6668 0.9995  6 Y 3.47, 6 Pu 3.50-3.51
Sm1 0.4998 0.4998 0.5006  6 Sm 3.47, 6 Pu 3.52-3.53
Pu1 0.2503 0.2503 0.2491  6 Pu 3.47, 3 Y 3.51, 3 Sm 3.53
Pu2 0.0830 0.0830 0.7509  6 Pu 3.47, 3 Y 3.50, 3 Sm 3.52

**DOS(E_F)**: 4.597 states/eV per atom
**ΔE_f**: 0.21 eV per atom
**Polymorph energy (0 for the lowest one)**: 3 meV per atom



Compound: YGa3C
Source: Alexandria via LeMat-Bulk
Functional: GGA-PBE
Structure: relaxed

Unit cell a=4.4796 b=4.4796 c=4.4796 alpha=90.00 beta=90.00 gamma=90.00
With the nearest neighbours (Å) after each atom.
Sites, in units of the cell vectors:
C1 0.0000 0.0000 0.0000  6 Ga 2.24
Y1 0.5000 0.5000 0.5000  12 Ga 3.17
Ga1 0.0000 0.0000 0.5000  2 C 2.24
Ga2 0.5000 0.0000 0.0000  2 C 2.24
Ga3 0.0000 0.5000 0.0000  2 C 2.24

**DOS(E_F)**: 0.518 states/eV per atom
**ΔE_f**: 0.45 eV per atom
**Polymorph energy (0 for the lowest one)**: 0 meV per atom



Compound: PmDyMg2Au4
Source: Alexandria via LeMat-Bulk
Functional: GGA-PBE
Structure: relaxed

Unit cell a=4.9598 b=4.9598 c=8.5474 alpha=73.13 beta=73.13 gamma=60.00
With the nearest neighbours (Å) after each atom.
Sites, in units of the cell vectors:
Dy1 0.5000 0.5000 0.5000  8 Au 2.96-3.01
Au1 0.6225 0.6225 0.1325  1 Dy 2.96, 4 Mg 3.02-3.09, 3 Pm 3.06
Au2 0.8717 0.8717 0.3850  4 Mg 2.93-3.06, 3 Dy 3.01, 1 Pm 3.10
Au3 0.1283 0.1283 0.6150  4 Mg 2.93-3.06, 3 Dy 3.01, 1 Pm 3.10
Au4 0.3775 0.3775 0.8675  1 Dy 2.96, 4 Mg 3.02-3.09, 3 Pm 3.06
Mg1 0.7505 0.7505 0.7484  8 Au 2.93-3.09
Mg2 0.2495 0.2495 0.2516  8 Au 2.93-3.09
Pm1 0.0000 0.0000 0.0000  8 Au 3.06-3.10

**DOS(E_F)**: 0.595 states/eV per atom
**ΔE_f**: -0.76 eV per atom



Q: Which value of DOS(E_F) does entry 2 give?
A: 0.100 states/eV per atom



Q: Which of these has the highest DOS(E_F)?
A: SmYPu2